An optimized crystal structure of CsPaS2. Source: Alexandria via LeMat-Bulk, functional PBE.

Summary:
- DOS at the Fermi energy: 4.94 states/eV/cell
- Total DFT energy (no corrections): -0.4471 Ry per atom

Lattice parameters (Å, degrees): 8.5416 8.5416 8.5416 27.50 27.50 27.50
Last column: nearest neighbours and their distance in Å.
Sites, in units of the cell vectors:
Cs1 0.0000 0.0000 0.0000  6 S 3.48
Pa1 0.5000 0.5000 0.5000  6 S 2.80
S1 0.2288 0.2288 0.2288  3 Pa 2.80
S2 0.7712 0.7712 0.7712  3 Pa 2.80